{"formula": "PmHoCu", "functional": "GGA-PBE", "state": "relaxed", "lattice_angstrom": [[3.4993, 0.0050, 0.0006], [-0.0166, 7.0676, 0.0144], [-1.7452, -1.8424, 6.2112]], "species": ["Ho", "Pm", "Cu", "Pm", "Cu", "Ho"], "frac_coords": [[0.3017, 0.9853, 0.3701], [0.2961, 0.4798, 0.3601], [0.9316, 0.8210, 0.6330], [0.5814, 0.6239, 0.9289], [0.9468, 0.2834, 0.6558], [0.5760, 0.1184, 0.9187]], "total_magnetization_mub_per_cell": 0.00, "sg": "P-1 (2)", "de_polymorph_mev_per_atom": 0, "formation_enthalpy_0k_ev_per_atom": -0.116}


{"formula": "PmHo2Cu6", "functional": "GGA-PBE", "state": "relaxed", "lattice_angstrom": [[-3.3465, 1.1148, 0.6916], [-0.4855, -4.8579, 5.4812], [2.5244, 6.7675, 1.3067]], "species": ["Cu", "Ho", "Ho", "Cu", "Cu", "Cu", "Cu", "Cu", "Pm"], "frac_coords": [[0.5000, 0.3354, 0.3354], [0.0000, 0.6667, 0.3333], [0.0000, 0.3333, 0.6667], [0.5000, 0.0000, 0.6646], [0.5000, 0.6646, 0.6646], [0.5000, 0.3354, 0.0000], [0.5000, 0.6646, 0.0000], [0.5000, 0.0000, 0.3354], [0.0000, 0.0000, 0.0000]], "total_magnetization_mub_per_cell": 0.00, "sg": "P6/mmm (191)", "formation_enthalpy_0k_ev_per_atom": -0.247}


{"formula": "Pm3HoCu4", "functional": "GGA-PBE", "state": "relaxed", "lattice_angstrom": [[-3.0118, -1.7595, 0.5349], [0.5971, -1.9065, -2.9089], [6.9941, -9.6193, 7.7399]], "species": ["Pm", "Cu", "Pm", "Cu", "Cu", "Ho", "Cu", "Pm"], "frac_coords": [[0.5000, 0.5000, 0.5000], [0.0000, 0.0000, 0.1151], [0.5000, 0.5000, 0.7537], [0.0000, 0.0000, 0.3737], [0.0000, 0.0000, 0.8849], [0.5000, 0.5000, 0.0000], [0.0000, 0.0000, 0.6263], [0.5000, 0.5000, 0.2463]], "total_magnetization_mub_per_cell": 0.00, "sg": "P4/mmm (123)", "formation_enthalpy_0k_ev_per_atom": -0.190}


{"formula": "PmHoCu2", "functional": "GGA-PBE", "state": "relaxed", "lattice_angstrom": [[3.4919, 0.0000, 0.0000], [0.0000, 3.4919, 0.0000], [0.0000, 0.0000, 7.0647]], "species": ["Cu", "Cu", "Pm", "Ho"], "frac_coords": [[0.0000, 0.0000, 0.2312], [0.0000, 0.0000, 0.7688], [0.5000, 0.5000, 0.5000], [0.5000, 0.5000, 0.0000]], "total_magnetization_mub_per_cell": 0.00, "sg": "P4/mmm (123)", "de_polymorph_mev_per_atom": 6, "formation_enthalpy_0k_ev_per_atom": -0.218}


{"formula": "PmHo3Cu4", "functional": "GGA-PBE", "state": "relaxed", "lattice_angstrom": [[-1.4080, -3.1622, 3.5086], [6.6510, -1.2907, 1.5059], [-0.0673, 7.3352, 6.5840]], "species": ["Cu", "Ho", "Cu", "Pm", "Cu", "Ho", "Ho", "Cu", "Ho", "Cu", "Ho", "Pm", "Cu", "Cu", "Ho", "Cu"], "frac_coords": [[0.5000, 0.7597, 0.5000], [0.0000, 0.0000, 0.5000], [0.9995, 0.2400, 0.7500], [0.0000, 0.5000, 0.5000], [0.0005, 0.7600, 0.2500], [0.4997, 0.0000, 0.7500], [0.0000, 0.0000, 0.0000], [0.5000, 0.2403, 0.5000], [0.5003, 0.0000, 0.2500], [0.9995, 0.7600, 0.7500], [0.5003, 0.5000, 0.2500], [0.0000, 0.5000, 0.0000], [0.5000, 0.2403, 0.0000], [0.5000, 0.7597, 0.0000], [0.4997, 0.5000, 0.7500], [0.0005, 0.2400, 0.2500]], "total_magnetization_mub_per_cell": 0.00, "sg": "P4/mmm (123)", "formation_enthalpy_0k_ev_per_atom": -0.236}


{"formula": "PmHo2Cu", "functional": "GGA-PBE", "state": "relaxed", "lattice_angstrom": [[-3.3377, 0.6180, 1.2267], [-2.8447, -1.3985, -1.7258], [-1.4911, -8.3807, 5.4749]], "species": ["Pm", "Ho", "Cu", "Ho"], "frac_coords": [[0.5000, 0.5000, 0.5000], [0.2668, 0.2668, 0.1995], [0.0000, 0.0000, 0.0000], [0.7332, 0.7332, 0.8005]], "total_magnetization_mub_per_cell": 0.00, "sg": "R-3m (166)", "de_polymorph_mev_per_atom": 133, "formation_enthalpy_0k_ev_per_atom": 0.027}


{"formula": "PmHoCu", "functional": "GGA-PBE", "state": "relaxed", "lattice_angstrom": [[-1.8227, -1.6100, 4.2467], [0.5801, -4.6841, 1.2929], [3.0171, -1.1694, 3.6713]], "species": ["Pm", "Cu", "Ho"], "frac_coords": [[0.5000, 0.5000, 0.5000], [0.2500, 0.2500, 0.2500], [0.0000, 0.0000, 0.0000]], "total_magnetization_mub_per_cell": 0.00, "sg": "F-43m (216)", "de_polymorph_mev_per_atom": 197, "formation_enthalpy_0k_ev_per_atom": 0.081}


{"formula": "PmHoCuRu", "functional": "GGA-PBE", "state": "relaxed", "lattice_angstrom": [[4.9089, 0.0000, 0.0000], [2.4544, 4.2512, 0.0000], [2.4544, 1.4171, 4.0081]], "species": ["Pm", "Ru", "Ho", "Cu"], "frac_coords": [[0.0000, 0.0000, 0.0000], [0.7500, 0.7500, 0.7500], [0.5000, 0.5000, 0.5000], [0.2500, 0.2500, 0.2500]], "total_magnetization_mub_per_cell": 0.00, "sg": "F-43m (216)", "de_polymorph_mev_per_atom": 0, "formation_enthalpy_0k_ev_per_atom": -0.268}


{"formula": "PmHoCuRu", "functional": "GGA-PBE", "state": "relaxed", "lattice_angstrom": [[-2.2555, 2.9183, -0.3204], [-1.7517, -0.9146, 4.0010], [4.7546, 1.5950, 2.4463]], "species": ["Ho", "Ru", "Cu", "Pm"], "frac_coords": [[0.8621, 0.5000, 0.7242], [0.4207, 0.0000, 0.8413], [0.5724, 0.5000, 0.1447], [0.1449, 0.0000, 0.2898]], "total_magnetization_mub_per_cell": 0.00, "sg": "Amm2 (38)", "de_polymorph_mev_per_atom": 10, "formation_enthalpy_0k_ev_per_atom": -0.258}


{"formula": "Pm2HoCuSe5", "functional": "GGA-PBE", "state": "relaxed", "lattice_angstrom": [[-3.6890, -1.4632, 0.8129], [0.9367, -1.6646, -8.8393], [4.8484, -10.8071, 2.5490]], "species": ["Se", "Se", "Cu", "Pm", "Cu", "Pm", "Se", "Ho", "Ho", "Se", "Se", "Se", "Se", "Se", "Pm", "Se", "Se", "Pm"], "frac_coords": [[0.3566, 0.7133, 0.0010], [0.3126, 0.6252, 0.3456], [0.4355, 0.8711, 0.4550], [0.1223, 0.2447, 0.3090], [0.5645, 0.1289, 0.9550], [0.8913, 0.7826, 0.1860], [0.5009, 0.0018, 0.2804], [0.8067, 0.6133, 0.5105], [0.1933, 0.3867, 0.0105], [0.6434, 0.2867, 0.5010], [0.0426, 0.0851, 0.0625], [0.9574, 0.9149, 0.5625], [0.7121, 0.4242, 0.1739], [0.4991, 0.9982, 0.7804], [0.8777, 0.7553, 0.8090], [0.6874, 0.3748, 0.8456], [0.2879, 0.5758, 0.6739], [0.1087, 0.2174, 0.6860]], "total_magnetization_mub_per_cell": 0.00, "raw_formation_energy_ev_per_atom": -1.587, "sg": "Cmc2_1 (36)"}


{"formula": "PmHoCuSi", "functional": "GGA-PBE", "state": "relaxed", "lattice_angstrom": [[-2.3274, 4.3677, -0.6549], [-4.5513, 0.7160, 1.9222], [-0.6188, 3.1024, 3.8619]], "species": ["Si", "Pm", "Cu", "Ho"], "frac_coords": [[0.7500, 0.7500, 0.7500], [0.5000, 0.5000, 0.5000], [0.2500, 0.2500, 0.2500], [0.0000, 0.0000, 0.0000]], "total_magnetization_mub_per_cell": 0.00, "raw_formation_energy_ev_per_atom": -0.404, "sg": "F-43m (216)", "de_polymorph_mev_per_atom": 97}


{"formula": "PmHoCuSi", "functional": "GGA-PBE", "state": "relaxed", "lattice_angstrom": [[-3.7207, 0.4234, -1.6323], [-1.5430, -2.4600, 2.8791], [0.9441, 4.1238, 4.0295]], "species": ["Si", "Pm", "Cu", "Ho"], "frac_coords": [[0.4283, 0.0000, 0.8565], [0.1448, 0.0000, 0.2896], [0.5621, 0.5000, 0.1241], [0.8649, 0.5000, 0.7298]], "total_magnetization_mub_per_cell": 0.00, "raw_formation_energy_ev_per_atom": -0.501, "sg": "Amm2 (38)", "de_polymorph_mev_per_atom": 0}


{"formula": "Pm2HoCu2Si2", "functional": "GGA-PBE", "state": "relaxed", "lattice_angstrom": [[-0.4020, 2.6417, -3.1584], [-3.5287, 0.1247, -2.1560], [-5.0907, 8.2514, 4.8399]], "species": ["Si", "Ho", "Pm", "Cu", "Si", "Cu", "Pm"], "frac_coords": [[0.2742, 0.2742, 0.1775], [0.0000, 0.0000, 0.0000], [0.1191, 0.1191, 0.6428], [0.6100, 0.6100, 0.1701], [0.7258, 0.7258, 0.8225], [0.3900, 0.3900, 0.8299], [0.8809, 0.8809, 0.3572]], "total_magnetization_mub_per_cell": 0.01, "raw_formation_energy_ev_per_atom": -0.500, "sg": "R-3m (166)"}


{"formula": "PmHo2Cu2Si2", "functional": "GGA-PBE", "state": "relaxed", "lattice_angstrom": [[4.2168, 0.0000, 0.0000], [2.1084, 3.6519, 0.0000], [2.1084, 1.2173, 9.4445]], "species": ["Ho", "Pm", "Si", "Cu", "Ho", "Si", "Cu"], "frac_coords": [[0.8730, 0.8730, 0.3809], [0.0000, 0.0000, 0.0000], [0.7387, 0.7387, 0.7840], [0.5971, 0.5971, 0.2088], [0.1270, 0.1270, 0.6191], [0.2613, 0.2613, 0.2160], [0.4029, 0.4029, 0.7912]], "total_magnetization_mub_per_cell": 0.00, "raw_formation_energy_ev_per_atom": -0.485, "sg": "R-3m (166)"}


{"formula": "PmSmHoCu", "functional": "GGA-PBE", "state": "relaxed", "lattice_angstrom": [[-0.2708, -1.6849, -3.1137], [-0.9498, -2.9737, 1.6917], [-8.3506, 2.3553, -0.5483]], "species": ["Sm", "Cu", "Pm", "Ho"], "frac_coords": [[0.5000, 0.5000, 0.7685], [0.0000, 0.0000, 0.5611], [0.0000, 0.0000, 0.0763], [0.5000, 0.5000, 0.3788]], "total_magnetization_mub_per_cell": 0.00, "sg": "P4mm (99)", "formation_enthalpy_0k_ev_per_atom": -0.089}


{"formula": "PmHoCuSn", "functional": "GGA-PBE", "state": "relaxed", "lattice_angstrom": [[-3.5261, -3.5694, -1.3782], [1.4132, -4.0531, -2.9408], [0.1856, -4.7727, 2.0640]], "species": ["Ho", "Pm", "Cu", "Sn"], "frac_coords": [[0.0000, 0.0000, 0.0000], [0.5000, 0.5000, 0.5000], [0.7500, 0.7500, 0.7500], [0.2500, 0.2500, 0.2500]], "total_magnetization_mub_per_cell": 0.00, "sg": "F-43m (216)", "formation_enthalpy_0k_ev_per_atom": -0.421}


{"formula": "PmHoCuTc", "functional": "GGA-PBE", "state": "relaxed", "lattice_angstrom": [[4.9209, 0.0000, 0.0000], [2.4605, 4.2616, 0.0000], [2.4605, 1.4205, 4.0179]], "species": ["Pm", "Tc", "Cu", "Ho"], "frac_coords": [[0.5000, 0.5000, 0.5000], [0.7500, 0.7500, 0.7500], [0.2500, 0.2500, 0.2500], [0.0000, 0.0000, 0.0000]], "total_magnetization_mub_per_cell": 0.00, "sg": "F-43m (216)", "formation_enthalpy_0k_ev_per_atom": -0.035}


{"formula": "Pm2HoCuTe5", "functional": "GGA-PBE", "state": "relaxed", "lattice_angstrom": [[-1.0813, 1.7236, 3.7782], [-8.4994, -0.3270, -4.7202], [-2.2010, -11.8709, 4.7855]], "species": ["Pm", "Te", "Te", "Te", "Cu", "Te", "Te", "Te", "Te", "Ho", "Pm", "Te", "Te", "Ho", "Pm", "Te", "Cu", "Pm"], "frac_coords": [[0.8757, 0.7514, 0.8057], [0.5000, 0.0000, 0.7866], [0.3544, 0.7089, 0.9990], [0.9587, 0.9175, 0.5648], [0.5714, 0.1429, 0.9588], [0.5000, 0.0000, 0.2866], [0.2860, 0.5721, 0.6721], [0.7140, 0.4279, 0.1721], [0.3122, 0.6244, 0.3420], [0.8097, 0.6193, 0.5093], [0.1091, 0.2182, 0.6856], [0.6878, 0.3756, 0.8420], [0.6456, 0.2911, 0.4990], [0.1903, 0.3807, 0.0093], [0.8909, 0.7818, 0.1856], [0.0413, 0.0825, 0.0648], [0.4286, 0.8571, 0.4588], [0.1243, 0.2486, 0.3057]], "total_magnetization_mub_per_cell": 0.00, "raw_formation_energy_ev_per_atom": -1.190, "sg": "Cmc2_1 (36)"}


{"formula": "PmHoTlCu", "functional": "GGA-PBE", "state": "relaxed", "lattice_angstrom": [[-3.3744, -0.6687, 3.9487], [-1.7018, -4.8040, 1.2050], [1.5779, -2.3020, 4.4314]], "species": ["Tl", "Ho", "Cu", "Pm"], "frac_coords": [[0.7500, 0.7500, 0.7500], [0.0000, 0.0000, 0.0000], [0.2500, 0.2500, 0.2500], [0.5000, 0.5000, 0.5000]], "total_magnetization_mub_per_cell": 0.01, "sg": "F-43m (216)", "formation_enthalpy_0k_ev_per_atom": -0.228}


{"formula": "PrHo2Cu", "functional": "GGA-PBE", "state": "relaxed", "lattice_angstrom": [[-0.3677, -3.6031, -0.4197], [1.5319, -2.2803, 2.3973], [-7.8555, -1.7562, 6.1220]], "species": ["Ho", "Pr", "Ho", "Cu"], "frac_coords": [[0.2679, 0.2679, 0.1962], [0.5000, 0.5000, 0.5000], [0.7321, 0.7321, 0.8038], [0.0000, 0.0000, 0.0000]], "total_magnetization_mub_per_cell": 0.00, "sg": "R-3m (166)", "de_polymorph_mev_per_atom": 132, "formation_enthalpy_0k_ev_per_atom": 0.025}


{"formula": "PrHo4Cu4", "functional": "GGA-PBE", "state": "relaxed", "lattice_angstrom": [[-4.6050, -0.0606, 3.1901], [5.1153, -1.0183, 7.3648], [0.5002, 8.9664, 0.8924]], "species": ["Cu", "Ho", "Cu", "Cu", "Ho", "Pr", "Ho", "Cu", "Cu", "Cu", "Cu", "Ho", "Ho", "Ho", "Cu", "Pr", "Ho", "Ho"], "frac_coords": [[0.1125, 0.1466, 0.2823], [0.5996, 0.0934, 0.3335], [0.6125, 0.7823, 0.3534], [0.1125, 0.8534, 0.7177], [0.5996, 0.9066, 0.6665], [0.5000, 0.5000, 0.5000], [0.9004, 0.4066, 0.1665], [0.6125, 0.2177, 0.6466], [0.3875, 0.6466, 0.7823], [0.3875, 0.3534, 0.2177], [0.8875, 0.2823, 0.8534], [0.9004, 0.5934, 0.8335], [0.4004, 0.6665, 0.0934], [0.0996, 0.1665, 0.5934], [0.8875, 0.7177, 0.1466], [0.0000, 0.0000, 0.0000], [0.4004, 0.3335, 0.9066], [0.0996, 0.8335, 0.4066]], "total_magnetization_mub_per_cell": 0.00, "sg": "P4_2/n (86)", "formation_enthalpy_0k_ev_per_atom": -0.032}


{"formula": "PrHoCu2", "functional": "GGA-PBE", "state": "relaxed", "lattice_angstrom": [[3.5145, 0.0000, 0.0000], [0.0000, 3.5145, 0.0000], [0.0000, 0.0000, 7.1360]], "species": ["Cu", "Ho", "Cu", "Pr"], "frac_coords": [[0.0000, 0.0000, 0.7774], [0.5000, 0.5000, 0.0000], [0.0000, 0.0000, 0.2226], [0.5000, 0.5000, 0.5000]], "total_magnetization_mub_per_cell": 0.00, "sg": "P4/mmm (123)", "de_polymorph_mev_per_atom": 3, "formation_enthalpy_0k_ev_per_atom": -0.197}


{"formula": "PrHoCu", "functional": "GGA-PBE", "state": "relaxed", "lattice_angstrom": [[-3.2338, 1.0642, 1.9798], [-2.7356, -1.5290, -3.6464], [1.1802, -3.0196, 3.5507]], "species": ["Ho", "Pr", "Cu"], "frac_coords": [[0.2214, 0.3333, 0.6667], [0.6993, 0.6667, 0.3333], [0.0793, 0.0000, 0.0000]], "total_magnetization_mub_per_cell": 0.00, "sg": "P3m1 (156)", "de_polymorph_mev_per_atom": 169, "formation_enthalpy_0k_ev_per_atom": 0.058}


{"formula": "PrHo2Cu", "functional": "GGA-PBE", "state": "relaxed", "lattice_angstrom": [[3.5213, 0.0000, 0.0000], [0.0000, 3.5213, 0.0000], [0.0000, 0.0000, 8.7215]], "species": ["Cu", "Ho", "Pr", "Ho"], "frac_coords": [[0.5000, 0.5000, 0.0000], [0.0000, 0.0000, 0.8097], [0.5000, 0.5000, 0.5000], [0.0000, 0.0000, 0.1903]], "total_magnetization_mub_per_cell": 0.00, "sg": "P4/mmm (123)", "de_polymorph_mev_per_atom": 0, "formation_enthalpy_0k_ev_per_atom": -0.107}


{"formula": "PrHo4Cu5", "functional": "GGA-PBE", "state": "relaxed", "lattice_angstrom": [[-1.1264, -3.1935, -0.7081], [2.6169, -1.3291, 1.8314], [-10.0150, 0.3095, 14.5348]], "species": ["Ho", "Pr", "Ho", "Cu", "Cu", "Cu", "Cu", "Ho", "Ho", "Cu"], "frac_coords": [[0.0000, 0.0000, 0.2054], [0.0000, 0.0000, 0.0000], [0.0000, 0.0000, 0.7946], [0.5000, 0.5000, 0.6970], [0.5000, 0.5000, 0.8877], [0.5000, 0.5000, 0.5000], [0.5000, 0.5000, 0.3030], [0.0000, 0.0000, 0.4017], [0.0000, 0.0000, 0.5983], [0.5000, 0.5000, 0.1123]], "total_magnetization_mub_per_cell": 0.00, "sg": "P4/mmm (123)", "formation_enthalpy_0k_ev_per_atom": -0.238}


{"formula": "PrHo2Cu", "functional": "GGA-PBE", "state": "relaxed", "lattice_angstrom": [[3.6982, 0.0000, 0.0000], [1.8491, 3.2028, 0.0000], [1.8491, 1.0676, 9.7147]], "species": ["Ho", "Pr", "Cu", "Ho"], "frac_coords": [[0.0642, 0.0642, 0.8073], [0.5012, 0.5012, 0.4964], [0.6658, 0.6658, 0.0025], [0.2687, 0.2687, 0.1938]], "total_magnetization_mub_per_cell": 0.00, "sg": "R3m (160)", "de_polymorph_mev_per_atom": 131, "formation_enthalpy_0k_ev_per_atom": 0.024}